BaAlFeCuO5: relaxed, PBE+U.

Lattice parameters (Å, degrees): 3.7312 3.7312 8.1485 90.00 90.00 90.00
Space group P4mm (No. 99)
Inequivalent atoms, fractional coordinates:
1 Ba 0.0000 0.0000 0.0000 (multiplicity 1)
2 Al 0.0000 0.0000 0.4473 (multiplicity 1)
3 Fe 0.5000 0.5000 0.6642 (multiplicity 1)
4 Cu 0.5000 0.5000 0.2551 (multiplicity 1)
5 O 0.0000 0.5000 0.2691 (multiplicity 2)
6 O 0.0000 0.5000 0.5741 (multiplicity 2)
7 O 0.5000 0.5000 0.8937 (multiplicity 1)

Computed properties:
DOS(E_F) = 1.19 states/eV per cell
magnetization = 4.84 μB per formula unit
total energy = -6.15 eV/atom